No. 1
VASP calculation (PBE) on crystalline PaTiO5 at its relaxed geometry.

```
PaTiO5
1.0
4.7849 -2.5946 0.0000
4.7849 2.5946 0.0000
0.0000 0.0000 8.8822
Pa Ti O
2 2 10
direct
0.0000 0.0000 0.0000
0.0000 0.0000 0.5000
0.4164 0.5836 0.7500
0.5836 0.4164 0.2500
0.1273 0.6171 0.6078
0.1273 0.6171 0.8922
0.2332 0.7668 0.2500
0.3829 0.8727 0.6078
0.3829 0.8727 0.8922
0.6171 0.1273 0.1078
0.6171 0.1273 0.3922
0.7668 0.2332 0.7500
0.8727 0.3829 0.1078
0.8727 0.3829 0.3922
```

Calculated values
magnetization = 0.00 μB/f.u.
total energy = -8.734 eV per atom
DOS(E_F) = 0.194 states/eV/atom
symmetry = Cmcm
formation energy (no corrections) = -2708 meV per atom

---

No. 2
VASP calculation (PBE) on crystalline PaTiO4 at its relaxed geometry.

```
PaTiO4
1.0
-3.4888 3.4888 3.2927
3.4888 -3.4888 3.2927
3.4888 3.4888 -3.2927
Pa Ti O
2 2 8
direct
0.0000 0.0000 0.0000
0.7500 0.2500 0.5000
0.2383 0.7383 0.5000
0.4883 0.4883 0.0000
0.2133 0.5144 0.6989
0.2644 0.0655 0.8011
0.2644 0.4633 0.1989
0.2913 0.9817 0.3096
0.6721 0.9817 0.6904
0.7317 0.5413 0.8096
0.7317 0.9221 0.1904
0.8155 0.5144 0.3011
```

Calculated values
magnetization = 1.02 μB/f.u.
total energy = -9.434 eV per atom
DOS(E_F) = 0.728 states/eV/atom
symmetry = I4_1md
formation energy (no corrections) = -3230 meV per atom

---

| no. | mass density (Mg/m³) |
| --- | --- |
| 1 | 5.40 |
| 2 | 7.10 |